(one)
Here is a geometry-optimized PrZn2Ni2 structure from Alexandria via LeMat-Bulk. Energies are from PBE-GGA.

The structure in CIF format:
```
data_PrZn2Ni2
_cell_length_a 5.289
_cell_length_b 5.289
_cell_length_c 4.678
_cell_angle_alpha 107.61
_cell_angle_beta 107.61
_cell_angle_gamma 45.36
_space_group_name_H-M_alt 'P 1'
_space_group_IT_number 1
_space_group_name_Hall 'P 1'
loop_
_atom_site_label
_atom_site_fract_x
_atom_site_fract_y
_atom_site_fract_z
_atom_site_occupancy
Pr1 0.000 0.000 0.000 1
Zn1 0.352 0.352 0.420 1
Zn2 0.648 0.648 0.580 1
Ni1 0.266 0.266 0.860 1
Ni2 0.734 0.734 0.140 1
```

Space-group type: C2/m
Size of the total moment (μB/f.u.): 0.000

(two)
Here is a geometry-optimized PrZn2Ni2 structure from Alexandria via LeMat-Bulk. Energies are from PBE-GGA.

The structure in CIF format:
```
data_PrZn2Ni2
_cell_length_a 5.266
_cell_length_b 5.266
_cell_length_c 7.989
_cell_angle_alpha 99.01
_cell_angle_beta 99.01
_cell_angle_gamma 121.57
_space_group_name_H-M_alt 'P 1'
_space_group_IT_number 1
_space_group_name_Hall 'P 1'
loop_
_atom_site_label
_atom_site_fract_x
_atom_site_fract_y
_atom_site_fract_z
_atom_site_occupancy
Pr1 0.125 0.875 0.750 1
Pr2 0.875 0.125 0.250 1
Zn1 0.255 0.505 0.010 1
Zn2 0.495 0.745 0.490 1
Zn3 0.505 0.255 0.510 1
Zn4 0.745 0.495 0.990 1
Ni1 0.193 0.807 0.250 1
Ni2 0.443 0.557 0.750 1
Ni3 0.557 0.443 0.250 1
Ni4 0.807 0.193 0.750 1
```

Space-group type: C2/c
Size of the total moment (μB/f.u.): 0.000

Least stable structure: (two)

(one)
Here is a geometry-optimized PrZn2Ni9 structure from Alexandria via LeMat-Bulk. Energies are from PBE-GGA.

The structure in CIF format:
```
data_PrZn2Ni9
_cell_length_a 8.131
_cell_length_b 8.131
_cell_length_c 2.704
_cell_angle_alpha 90.00
_cell_angle_beta 90.00
_cell_angle_gamma 120.00
_space_group_name_H-M_alt 'P 1'
_space_group_IT_number 1
_space_group_name_Hall 'P 1'
loop_
_atom_site_label
_atom_site_fract_x
_atom_site_fract_y
_atom_site_fract_z
_atom_site_occupancy
Pr1 0.000 0.000 0.000 1
Zn1 0.333 0.667 0.000 1
Zn2 0.667 0.333 0.000 1
Ni1 0.000 0.500 0.000 1
Ni2 0.186 0.371 0.500 1
Ni3 0.186 0.814 0.500 1
Ni4 0.371 0.186 0.500 1
Ni5 0.500 0.000 0.000 1
Ni6 0.500 0.500 0.000 1
Ni7 0.629 0.814 0.500 1
Ni8 0.814 0.186 0.500 1
Ni9 0.814 0.629 0.500 1
```

Space-group type: P6/mmm
Size of the total moment (μB/f.u.): 0.966

(two)
Here is a geometry-optimized PrZn2Ni9 structure from Alexandria via LeMat-Bulk. Energies are from PBE-GGA.

The structure in CIF format:
```
data_PrZn2Ni9
_cell_length_a 8.118
_cell_length_b 8.118
_cell_length_c 4.774
_cell_angle_alpha 90.00
_cell_angle_beta 90.00
_cell_angle_gamma 90.00
_space_group_name_H-M_alt 'P 1'
_space_group_IT_number 1
_space_group_name_Hall 'P 1'
loop_
_atom_site_label
_atom_site_fract_x
_atom_site_fract_y
_atom_site_fract_z
_atom_site_occupancy
Pr1 0.000 0.000 0.000 1
Pr2 0.500 0.500 0.000 1
Zn1 0.117 0.383 0.000 1
Zn2 0.383 0.883 0.000 1
Zn3 0.617 0.117 0.000 1
Zn4 0.883 0.617 0.000 1
Ni1 0.000 0.500 0.500 1
Ni2 0.066 0.212 0.500 1
Ni3 0.178 0.678 0.244 1
Ni4 0.178 0.678 0.756 1
Ni5 0.212 0.934 0.500 1
Ni6 0.288 0.434 0.500 1
Ni7 0.322 0.178 0.244 1
Ni8 0.322 0.178 0.756 1
Ni9 0.434 0.712 0.500 1
Ni10 0.500 0.000 0.500 1
Ni11 0.566 0.288 0.500 1
Ni12 0.678 0.822 0.244 1
Ni13 0.678 0.822 0.756 1
Ni14 0.712 0.566 0.500 1
Ni15 0.788 0.066 0.500 1
Ni16 0.822 0.322 0.244 1
Ni17 0.822 0.322 0.756 1
Ni18 0.934 0.788 0.500 1
```

Space-group type: P4/mbm
Size of the total moment (μB/f.u.): 2.909

Least stable structure: (one)

(one)
Here is a geometry-optimized Pr3Zn4Ni2 structure from Alexandria via LeMat-Bulk. Energies are from PBE-GGA.

The structure in CIF format:
```
data_Pr3Zn4Ni2
_cell_length_a 5.490
_cell_length_b 5.490
_cell_length_c 8.379
_cell_angle_alpha 100.02
_cell_angle_beta 100.02
_cell_angle_gamma 49.50
_space_group_name_H-M_alt 'P 1'
_space_group_IT_number 1
_space_group_name_Hall 'P 1'
loop_
_atom_site_label
_atom_site_fract_x
_atom_site_fract_y
_atom_site_fract_z
_atom_site_occupancy
Pr1 0.000 0.000 0.000 1
Pr2 0.382 0.382 0.304 1
Pr3 0.618 0.618 0.696 1
Zn1 0.102 0.102 0.413 1
Zn2 0.288 0.288 0.917 1
Zn3 0.712 0.712 0.083 1
Zn4 0.898 0.898 0.587 1
Ni1 0.316 0.316 0.631 1
Ni2 0.684 0.684 0.369 1
```

Space-group type: C2/m
Size of the total moment (μB/f.u.): 0.000

(two)
Here is a geometry-optimized Pr3Zn4Ni2 structure from Alexandria via LeMat-Bulk. Energies are from PBE-GGA.

The structure in CIF format:
```
data_Pr3Zn4Ni2
_cell_length_a 5.881
_cell_length_b 5.881
_cell_length_c 8.478
_cell_angle_alpha 108.67
_cell_angle_beta 108.67
_cell_angle_gamma 43.64
_space_group_name_H-M_alt 'P 1'
_space_group_IT_number 1
_space_group_name_Hall 'P 1'
loop_
_atom_site_label
_atom_site_fract_x
_atom_site_fract_y
_atom_site_fract_z
_atom_site_occupancy
Pr1 0.000 0.000 0.000 1
Pr2 0.324 0.324 0.348 1
Pr3 0.676 0.676 0.652 1
Zn1 0.044 0.044 0.375 1
Zn2 0.281 0.281 0.940 1
Zn3 0.719 0.719 0.060 1
Zn4 0.956 0.956 0.625 1
Ni1 0.396 0.396 0.728 1
Ni2 0.604 0.604 0.272 1
```

Space-group type: C2/m
Size of the total moment (μB/f.u.): 0.000

Least stable structure: (one)